Below is crystalline RbY2Zn2 at its relaxed geometry, with properties calculated at the GGA-PBE level.

- relative energy among the computed polymorphs (eV per atom) = 0.000
- energy (eV per cell) = -32.2
- space-group type = No. 127
- formation enthalpy at 0 K (eV per atom) = 0.070

Unit cell a=8.974 b=8.974 c=3.472 alpha=90.00 beta=90.00 gamma=90.00
Fractional coordinates of all 10 atoms:
Y 0.368 0.868 0.000
Y 0.868 0.632 0.000
Y 0.632 0.132 0.000
Y 0.132 0.368 0.000
Zn 0.158 0.658 0.500
Zn 0.658 0.842 0.500
Zn 0.842 0.342 0.500
Zn 0.342 0.158 0.500
Rb 0.000 0.000 0.000
Rb 0.500 0.500 0.000

Below is crystalline RbYZn2 at its relaxed geometry, with properties calculated at the GGA-PBE level.

- relative energy among the computed polymorphs (eV per atom) = 0.149
- energy (eV per cell) = -16.5
- space-group type = No. 122
- formation enthalpy at 0 K (eV per atom) = 0.429

Unit cell a=8.454 b=8.454 c=7.079 alpha=53.34 beta=53.34 gamma=90.00
Fractional coordinates of all 8 atoms:
Y 0.000 0.000 0.000
Y 0.750 0.250 0.500
Zn 0.666 0.125 0.250
Zn 0.084 0.625 0.250
Zn 0.375 0.334 0.750
Zn 0.875 0.916 0.750
Rb 0.500 0.500 0.000
Rb 0.250 0.750 0.500